Entry from the Alexandria database: a relaxed TbDy4Cd crystal (GGA-PBE).

Cell: 8.6802 14.1268 6.3020 Å, 90.00 109.11 90.00°
With the nearest neighbours (Å) after each atom.
Space group C2/c (No. 15)
Inequivalent atoms, fractional coordinates:
1 Tb 0.0000 0.0891 0.2500  10 Dy 3.48-3.81
2 Dy 0.0979 0.3093 0.5428  2 Cd 3.21-3.23, 5 Dy 3.28-3.55, 1 Tb 3.57
3 Dy 0.2159 0.1231 0.8780  5 Dy 3.28-3.66, 2 Cd 3.29-3.32, 2 Tb 3.48-3.49
4 Cd 0.0000 0.4994 0.2500  2 Cd 3.15, 8 Dy 3.21-3.32

Results
Spin magnetization   0.00 μB/atom
Energy relative to the elements   0.0085 eV/atom